This record from Alexandria describes an optimized crystal structure of TbNpMoO6. The functional is GGA+U.

Calculated values
- SG = P-31c (163)
- VASP energy (eV/atom) = -8.6449

abc: 5.691 5.691 8.884
angles: 90.00 90.00 120.00
Each line ends with the local moment (μB).
Atoms (fractional coordinates):
Tb1 0.333 0.667 0.250  0.02
Tb2 0.667 0.333 0.750  0.02
Np1 0.667 0.333 0.250  1.46
Np2 0.333 0.667 0.750  1.46
Mo1 0.000 0.000 0.000  2.67
Mo2 0.000 0.000 0.500  2.67
O1 0.682 0.654 0.127  -0.05
O2 0.972 0.318 0.127  -0.05
O3 0.318 0.972 0.627  -0.05
O4 0.028 0.682 0.873  -0.05
O5 0.346 0.318 0.373  -0.05
O6 0.972 0.654 0.373  -0.05
O7 0.654 0.972 0.873  -0.05
O8 0.682 0.028 0.373  -0.05
O9 0.028 0.346 0.627  -0.05
O10 0.346 0.028 0.127  -0.05
O11 0.654 0.682 0.627  -0.05
O12 0.318 0.346 0.873  -0.05